Entry 1:
The following is a DFT calculation (GGA-PBE) of ZnAg2W after structural relaxation.

Unit cell a=5.621 b=8.886 c=2.669 alpha=90.00 beta=90.00 gamma=90.00
Space group Cmmm (No. 65)
Symmetry-distinct sites (fractional):
Zn 0.000 0.000 0.000 (multiplicity 2)
Ag 0.250 0.250 0.500 (multiplicity 4)
W 0.000 0.500 0.000 (multiplicity 2)

Results
VASP energy = -4.462 eV per atom
Total moment = 0.000 μB/cell
E_form = 520 meV/atom

***

Entry 2:
The following is a DFT calculation (GGA-PBE) of ZnAg2W after structural relaxation.

Unit cell a=2.709 b=4.531 c=5.429 alpha=90.00 beta=100.73 gamma=90.00
Space group P2/m (No. 10)
Symmetry-distinct sites (fractional):
Zn 0.000 0.000 0.000 (multiplicity 1)
Ag 0.164 0.500 0.754 (multiplicity 2)
W 0.500 0.000 0.500 (multiplicity 1)

Results
VASP energy = -4.486 eV per atom
Total moment = 0.001 μB/cell
E_form = 497 meV/atom

***

Entry 3:
The following is a DFT calculation (GGA-PBE) of ZnAg2W after structural relaxation.

Unit cell a=9.647 b=2.708 c=5.203 alpha=90.00 beta=101.84 gamma=90.00
Space group Cm (No. 8)
Symmetry-distinct sites (fractional):
Zn 0.000 0.000 0.000 (multiplicity 2)
Ag 0.003 0.500 0.482 (multiplicity 2)
Ag 0.265 0.000 0.719 (multiplicity 2)
W 0.243 0.500 0.204 (multiplicity 2)

Results
VASP energy = -4.472 eV per atom
Total moment = 0.558 μB/cell
E_form = 511 meV/atom

***

Entry 4:
The following is a DFT calculation (GGA-PBE) of Zn2AgW after structural relaxation.

Unit cell a=2.732 b=5.029 c=9.364 alpha=90.00 beta=90.00 gamma=90.00
Space group Immm (No. 71)
Symmetry-distinct sites (fractional):
Zn 0.000 0.000 0.248 (multiplicity 4)
Ag 0.000 0.500 0.500 (multiplicity 2)
W 0.000 0.500 0.000 (multiplicity 2)

Results
VASP energy = -4.136 eV per atom
Total moment = 0.005 μB/cell
E_form = 452 meV/atom

***

Entry 5:
The following is a DFT calculation (GGA-PBE) of ZnAg2W after structural relaxation.

Unit cell a=3.782 b=3.782 c=19.735 alpha=90.00 beta=90.00 gamma=90.00
Space group I-42d (No. 122)
Symmetry-distinct sites (fractional):
Zn 0.000 0.000 0.000 (multiplicity 4)
Ag 0.248 0.250 0.125 (multiplicity 8)
W 0.000 0.000 0.500 (multiplicity 4)

Results
VASP energy = -4.070 eV per atom
Total moment = 0.000 μB/cell
E_form = 912 meV/atom

***

Entry 6:
The following is a DFT calculation (GGA-PBE) of Zn2AgW after structural relaxation.

Unit cell a=5.857 b=8.070 c=2.648 alpha=90.00 beta=90.00 gamma=90.00
Space group Cmmm (No. 65)
Symmetry-distinct sites (fractional):
Zn 0.250 0.250 0.000 (multiplicity 4)
Ag 0.000 0.000 0.500 (multiplicity 2)
W 0.000 0.500 0.500 (multiplicity 2)

Results
VASP energy = -4.320 eV per atom
Total moment = 0.000 μB/cell
E_form = 268 meV/atom